# HfCrGe2 GGA-PBE relaxed
# Energy above the lowest structure with this stoichiometry: 0.97 eV per formula unit
data_HfCrGe2
_chemical_formula_sum 'Hf3 Cr3 Ge6'
_symmetry_space_group_name_H-M 'R -3 m'
_symmetry_Int_Tables_number 166
_symmetry_space_group_name_Hall '-R 3 2"'
_cell_length_a 4.0867
_cell_length_b 4.0867
_cell_length_c 14.0761
_cell_angle_alpha 90.00
_cell_angle_beta 90.00
_cell_angle_gamma 120.00
loop_
_atom_site_label
_atom_site_type_symbol
_atom_site_fract_x
_atom_site_fract_y
_atom_site_fract_z
Hf1 Hf 0.0000 0.0000 0.0000
Cr1 Cr 0.0000 0.0000 0.5000
Ge1 Ge 0.0000 0.0000 0.2332

=====

# Hf2CrGe GGA-PBE relaxed
# Calculated total energy: -32.4 eV/f.u.
data_Hf2CrGe
_chemical_formula_sum 'Hf6 Cr3 Ge3'
_symmetry_space_group_name_H-M 'R -3 m'
_symmetry_Int_Tables_number 166
_symmetry_space_group_name_Hall '-R 3 2"'
_cell_length_a 3.0132
_cell_length_b 3.0132
_cell_length_c 30.0683
_cell_angle_alpha 90.00
_cell_angle_beta 90.00
_cell_angle_gamma 120.00
loop_
_atom_site_label
_atom_site_type_symbol
_atom_site_fract_x
_atom_site_fract_y
_atom_site_fract_z
Hf1 Hf 0.0000 0.0000 0.0885
Cr1 Cr 0.0000 0.0000 0.0000
Ge1 Ge 0.0000 0.0000 0.5000

=====

# HfNbCr2Ge GGA-PBE relaxed
# Calculated total energy: -39.5 eV/f.u.
data_HfNbCr2Ge
_chemical_formula_sum 'Hf1 Nb1 Cr2 Ge1'
_symmetry_space_group_name_H-M 'P 4/m m m'
_symmetry_Int_Tables_number 123
_symmetry_space_group_name_Hall '-P 4 2'
_cell_length_a 4.394
_cell_length_b 4.394
_cell_length_c 4.785
_cell_angle_alpha 90.00
_cell_angle_beta 90.00
_cell_angle_gamma 90.00
loop_
_atom_site_label
_atom_site_type_symbol
_atom_site_fract_x
_atom_site_fract_y
_atom_site_fract_z
Hf1 Hf 0.000 0.000 0.000
Nb1 Nb 0.500 0.500 0.000
Cr1 Cr 0.000 0.500 0.500
Ge1 Ge 0.500 0.500 0.500

=====

Number 1: V 203.59 Å³ per cell. Number 2: V 236.43 Å³ per cell. Number 3: V 92.38 Å³ per cell.